The following is a PBE calculation of crystalline NdEr3Ir at its relaxed geometry, from Alexandria via LeMat-Bulk.

```
5
Lattice="5.4061 0.0000 0.0000 0.0000 5.4061 0.0000 0.0000 0.0000 5.4061" Properties=species:S:1:pos:R:3 pbc="T T T"
Ir 0.0000 0.0000 0.0000
Nd 2.7030 2.7030 2.7030
Er 0.0000 0.0000 2.7030
Er 2.7030 0.0000 0.0000
Er 0.0000 2.7030 0.0000
```

Properties
crystal system: cubic
E_form: -322 meV per atom
calculated total energy: -5.785 eV/atom
magnetic moment: 0.00 μB/f.u.
SG: No. 221
energy relative to the lowest polymorph listed for this composition: 0.0527 eV per atom